Density functional theory data (GGA-PBE) for a relaxed PaBePb2O8 crystal.

Properties
For the formation energy (no corrections), the calculation gives -1642 meV/atom. As for the final energy: -6.6671 eV/atom. The calculation puts the density of states at the Fermi level at 4.7 states/eV per cell.

```
data_PaBePb2O8
_chemical_formula_sum 'Pa1 Be1 Pb2 O8'
_symmetry_space_group_name_H-M 'P 1'
_symmetry_Int_Tables_number 1
_cell_length_a 5.0975
_cell_length_b 5.1007
_cell_length_c 6.5250
_cell_angle_alpha 96.64
_cell_angle_beta 96.67
_cell_angle_gamma 90.50
loop_
_symmetry_equiv_pos_as_xyz
'x,y,z'
loop_
_atom_site_label
_atom_site_fract_x
_atom_site_fract_y
_atom_site_fract_z
Pa1 0.0000 0.0000 0.0000
Be1 0.0000 0.0000 0.5000
Pb1 0.4589 0.4589 0.7323
Pb2 0.5411 0.5411 0.2677
O1 0.1503 0.1493 0.7073
O2 0.2193 0.2175 0.2344
O3 0.2904 0.7083 0.4998
O4 0.3084 0.6899 0.9999
O5 0.6916 0.3101 0.0001
O6 0.7096 0.2917 0.5002
O7 0.7807 0.7825 0.7656
O8 0.8497 0.8507 0.2927
```